Crystalline Y2ReMo at its relaxed geometry. Source: Alexandria, functional PBE-GGA.

a b c (Å): 5.9653 5.9653 5.0499
angles (deg): 64.98 64.98 33.54
Last column: nearest neighbours and their distance in Å.
Positions (direct):
Mo 0.5419 0.5419 0.4582  2 Re 2.48
Re 0.2160 0.2160 0.2839  2 Mo 2.48
Y 0.9819 0.9819 0.0182  4 Mo 3.12, 4 Re 3.22-3.48, 6 Y 3.33-3.44
Y 0.7603 0.7603 0.7396  4 Re 3.09, 6 Y 3.33-3.44, 4 Mo 3.36-3.38

Properties
space-group type = Imm2 (44)
ρ = 8.6 g cm⁻³
E above lowest polymorph = 64.7 meV/atom
formation enthalpy at 0 K = 147 meV/atom
spin magnetization = 0.01 μB/f.u.
crystal system = orthorhombic